Record 1
Compound: DyHoAlCo2
Source: OQMD via LeMat-Bulk
Functional: PBE
Structure: relaxed

abc: 5.3488 5.3488 5.3488
angles: 135.87 118.90 78.39
With the nearest neighbours (Å) after each atom.
Positions (direct):
Al 0.0001 0.0001 0.0000  4 Co 2.51
Co 0.7233 0.4999 0.2234  1 Co 2.43, 2 Al 2.51
Co 0.2764 0.4999 0.7766  1 Co 2.43, 2 Al 2.51
Dy 0.7043 0.2043 0.5000  6 Co 2.88-2.90, 4 Al 3.17-3.20
Ho 0.2958 0.7958 0.5000  6 Co 2.88-2.89, 4 Al 3.17-3.20

Values from the calculation:
As for the symmetry: No. 44. The energy above the most stable polymorph in this dataset is 0.0 meV/atom. The value obtained for the magnetization is 0.000 μB per atom.


Record 2
Compound: BaLiPd
Source: OQMD via LeMat-Bulk
Functional: PBE
Structure: relaxed

abc: 4.8480 4.8480 4.8480
angles: 60.00 60.00 60.00
With the nearest neighbours (Å) after each atom.
Positions (direct):
Ba 0.2500 0.2500 0.2500  4 Li 2.97
Li 0.0000 0.0000 0.0000  4 Ba 2.97, 4 Pd 2.97
Pd 0.7500 0.7500 0.7500  4 Li 2.97

Values from the calculation:
As for the symmetry: No. 216. Its total energy is -9.4 eV per cell.


Record 3
Compound: Nd3Pd2
Source: OQMD via LeMat-Bulk
Functional: PBE
Structure: relaxed

abc: 7.3334 7.3334 10.1207
angles: 105.50 105.50 30.86
With the nearest neighbours (Å) after each atom.
Positions (direct):
Nd 0.8515 0.8515 0.1233  4 Pd 3.05-3.11
Nd 0.5936 0.5936 0.1656  3 Pd 2.91-2.93
Nd 0.1316 0.1316 0.4975  7 Pd 3.06-3.19
Nd 0.8684 0.8684 0.5025  7 Pd 3.06-3.19
Nd 0.4064 0.4064 0.8344  3 Pd 2.91-2.93
Nd 0.1485 0.1485 0.8767  4 Pd 3.05-3.11
Pd 0.2511 0.2511 0.2725  7 Nd 2.93-3.19, 1 Pd 2.95
Pd 0.4679 0.4679 0.3503  2 Pd 2.91-2.95, 7 Nd 2.91-3.11
Pd 0.5321 0.5321 0.6497  2 Pd 2.91-2.95, 7 Nd 2.91-3.11
Pd 0.7489 0.7489 0.7275  7 Nd 2.93-3.19, 1 Pd 2.95

Values from the calculation:
As for the symmetry: No. 12. The value obtained for the magnetization is 0.013 μB per atom. Its total energy is -55.7 eV per cell.


> Which formula does entry 3 have?

Nd3Pd2


Repeat the third record exactly.
Compound: Nd3Pd2
Source: OQMD via LeMat-Bulk
Functional: PBE
Structure: relaxed

abc: 7.3334 7.3334 10.1207
angles: 105.50 105.50 30.86
With the nearest neighbours (Å) after each atom.
Positions (direct):
Nd 0.8515 0.8515 0.1233  4 Pd 3.05-3.11
Nd 0.5936 0.5936 0.1656  3 Pd 2.91-2.93
Nd 0.1316 0.1316 0.4975  7 Pd 3.06-3.19
Nd 0.8684 0.8684 0.5025  7 Pd 3.06-3.19
Nd 0.4064 0.4064 0.8344  3 Pd 2.91-2.93
Nd 0.1485 0.1485 0.8767  4 Pd 3.05-3.11
Pd 0.2511 0.2511 0.2725  7 Nd 2.93-3.19, 1 Pd 2.95
Pd 0.4679 0.4679 0.3503  2 Pd 2.91-2.95, 7 Nd 2.91-3.11
Pd 0.5321 0.5321 0.6497  2 Pd 2.91-2.95, 7 Nd 2.91-3.11
Pd 0.7489 0.7489 0.7275  7 Nd 2.93-3.19, 1 Pd 2.95

Values from the calculation:
As for the symmetry: No. 12. The value obtained for the magnetization is 0.013 μB per atom. Its total energy is -55.7 eV per cell.


Please write out number 1 again, unchanged.
Compound: DyHoAlCo2
Source: OQMD via LeMat-Bulk
Functional: PBE
Structure: relaxed

abc: 5.3488 5.3488 5.3488
angles: 135.87 118.90 78.39
With the nearest neighbours (Å) after each atom.
Positions (direct):
Al 0.0001 0.0001 0.0000  4 Co 2.51
Co 0.7233 0.4999 0.2234  1 Co 2.43, 2 Al 2.51
Co 0.2764 0.4999 0.7766  1 Co 2.43, 2 Al 2.51
Dy 0.7043 0.2043 0.5000  6 Co 2.88-2.90, 4 Al 3.17-3.20
Ho 0.2958 0.7958 0.5000  6 Co 2.88-2.89, 4 Al 3.17-3.20

Values from the calculation:
As for the symmetry: No. 44. The energy above the most stable polymorph in this dataset is 0.0 meV/atom. The value obtained for the magnetization is 0.000 μB per atom.